{"formula": "Cs3Rb3TbI8", "functional": "GGA-PBE", "state": "relaxed", "cell": [[-5.750, 8.729, 2.641], [3.769, -6.511, 7.721], [6.633, 6.077, -5.642]], "species": ["Cs", "Cs", "Cs", "I", "I", "I", "I", "I", "I", "I", "I", "Rb", "Rb", "Rb", "Tb"], "frac_coords": [[0.000, 0.500, 0.500], [0.500, 0.000, 0.500], [0.500, 0.500, 0.500], [0.201, 0.993, 0.284], [0.791, 0.993, 0.284], [0.799, 0.007, 0.716], [0.755, 0.510, 0.764], [0.245, 0.490, 0.236], [0.209, 0.007, 0.716], [0.209, 0.417, 0.716], [0.791, 0.583, 0.284], [0.000, 0.000, 0.000], [0.500, 0.500, 0.000], [0.000, 0.500, 0.000], [0.000, 0.000, 0.500]], "magnetic_moment_mub_per_cell": 0.94, "spacegroup": "R-3m, No. 166", "formation_energy_uncorrected_ev_per_fu": -21.219}


{"formula": "Pm7Ho16Er6", "functional": "GGA-PBE", "state": "relaxed", "cell": [[9.658, 0.000, 5.576], [3.219, 9.105, 5.576], [0.000, 0.000, 11.152]], "species": ["Ho", "Ho", "Ho", "Ho", "Ho", "Ho", "Ho", "Ho", "Ho", "Ho", "Ho", "Ho", "Ho", "Ho", "Ho", "Ho", "Pm", "Pm", "Pm", "Pm", "Pm", "Pm", "Pm", "Er", "Er", "Er", "Er", "Er", "Er"], "frac_coords": [[0.386, 0.871, 0.871], [0.947, 0.351, 0.351], [0.871, 0.871, 0.386], [0.649, 0.649, 0.649], [0.351, 0.351, 0.947], [0.871, 0.871, 0.871], [0.649, 0.053, 0.649], [0.871, 0.386, 0.871], [0.053, 0.649, 0.649], [0.129, 0.129, 0.129], [0.351, 0.947, 0.351], [0.351, 0.351, 0.351], [0.129, 0.614, 0.129], [0.614, 0.129, 0.129], [0.649, 0.649, 0.053], [0.129, 0.129, 0.614], [0.000, 0.500, 0.000], [0.000, 0.000, 0.500], [0.500, 0.000, 0.500], [0.500, 0.500, 0.000], [0.500, 0.000, 0.000], [0.000, 0.000, 0.000], [0.000, 0.500, 0.500], [0.742, 0.258, 0.742], [0.258, 0.258, 0.742], [0.258, 0.742, 0.742], [0.258, 0.742, 0.258], [0.742, 0.742, 0.258], [0.742, 0.258, 0.258]], "magnetic_moment_mub_per_cell": 0.00, "delta_e_f_ev_per_atom": 0.26, "spacegroup": "Fm-3m, No. 225"}


{"formula": "Tb2Pm8Ho3", "functional": "GGA-PBE", "state": "relaxed", "cell": [[-5.649, 0.470, -0.550], [0.391, -3.397, -6.915], [-1.377, -7.406, 7.863]], "species": ["Tb", "Tb", "Pm", "Pm", "Pm", "Pm", "Pm", "Pm", "Pm", "Pm", "Ho", "Ho", "Ho"], "frac_coords": [[0.499, 0.240, 0.480], [0.501, 0.760, 0.520], [0.500, 0.189, 0.789], [0.001, 0.672, 0.344], [0.500, 0.600, 0.789], [0.999, 0.328, 0.656], [0.500, 0.811, 0.211], [0.500, 0.400, 0.211], [0.000, 0.869, 0.738], [0.000, 0.131, 0.262], [0.000, 0.287, 0.000], [0.000, 0.713, 0.000], [0.500, 0.000, 0.000]], "magnetic_moment_mub_per_cell": 0.00, "delta_e_f_ev_per_atom": 0.21, "spacegroup": "C2/m, No. 12", "e_above_lowest_polymorph_ev_per_atom": 0.192}


{"formula": "ZrAlSi2N", "functional": "GGA-PBE", "state": "relaxed", "cell": [[-2.984, -4.261, -0.590], [2.620, -1.444, -2.824], [2.718, -2.424, 3.761]], "species": ["Al", "Zr", "Si", "Si", "N"], "frac_coords": [[0.500, 0.500, 0.500], [0.000, 0.000, 0.000], [0.000, 0.000, 0.500], [0.500, 0.000, 0.000], [0.000, 0.500, 0.000]], "magnetic_moment_mub_per_cell": 0.00, "spacegroup": "P4/mmm, No. 123", "formation_energy_uncorrected_ev_per_fu": 4.126}


{"formula": "ZnTeCl2", "functional": "GGA-PBE", "state": "relaxed", "cell": [[5.448, -0.020, 0.055], [-1.790, 5.145, 0.055], [1.811, 2.537, 3.501]], "species": ["Zn", "Te", "Cl", "Cl"], "frac_coords": [[0.000, 0.500, 0.500], [0.500, 0.000, 0.500], [0.500, 0.500, 0.000], [0.000, 0.000, 0.000]], "magnetic_moment_mub_per_cell": 0.00, "spacegroup": "C2/m, No. 12", "formation_energy_uncorrected_ev_per_fu": -0.554, "e_above_lowest_polymorph_ev_per_atom": 0.485}


{"formula": "CsRb2ZnAu2", "functional": "GGA-PBE", "state": "relaxed", "cell": [[-3.322, 1.298, -3.254], [-6.078, -7.195, 3.334], [-3.789, 6.125, 6.311]], "species": ["Rb", "Rb", "Rb", "Rb", "Zn", "Zn", "Cs", "Cs", "Au", "Au", "Au", "Au"], "frac_coords": [[0.500, 0.041, 0.083], [0.500, 0.541, 0.917], [0.000, 0.366, 0.188], [0.000, 0.866, 0.812], [0.500, 0.205, 0.721], [0.500, 0.705, 0.279], [0.000, 0.476, 0.554], [0.000, 0.976, 0.446], [0.500, 0.734, 0.566], [0.000, 0.223, 0.838], [0.500, 0.234, 0.434], [0.000, 0.723, 0.162]], "magnetic_moment_mub_per_cell": 0.00, "delta_e_f_ev_per_atom": -0.18, "spacegroup": "Pmc2_1, No. 26"}


Copy entry 5 word for word.
{"formula": "ZnTeCl2", "functional": "GGA-PBE", "state": "relaxed", "cell": [[5.448, -0.020, 0.055], [-1.790, 5.145, 0.055], [1.811, 2.537, 3.501]], "species": ["Zn", "Te", "Cl", "Cl"], "frac_coords": [[0.000, 0.500, 0.500], [0.500, 0.000, 0.500], [0.500, 0.500, 0.000], [0.000, 0.000, 0.000]], "magnetic_moment_mub_per_cell": 0.00, "spacegroup": "C2/m, No. 12", "formation_energy_uncorrected_ev_per_fu": -0.554, "e_above_lowest_polymorph_ev_per_atom": 0.485}